DFT (PBE) results for a relaxed structure of KZr2Cu.

Output
The energy relative to the lowest polymorph listed for this composition comes out at 0.741 eV/atom. As for the electronic total energy: -4.594 eV/atom. The energy relative to the elements comes out at 22.6 kcal/mol of atoms.

a = 4.4245 Å, b = 4.4245 Å, c = 9.3477 Å
α = 90.00°, β = 90.00°, γ = 90.00°
Space group I-4m2 (No. 119)
One atom of each set of equivalent atoms:
K (0.0000, 0.0000, 0.0000) (multiplicity 2)
Zr (0.0000, 0.0000, 0.5000) (multiplicity 2)
Zr (0.0000, 0.5000, 0.7500) (multiplicity 2)
Cu (0.0000, 0.5000, 0.2500) (multiplicity 2)